Density functional theory data (PBE-GGA) for Ba2ZnSe after structural relaxation.

Lattice parameters (Å, degrees): 8.886 8.886 8.886 30.39 30.39 30.39
Element x y z (fractional)
Ba 0.242 0.242 0.242
Ba 0.758 0.758 0.758
Zn 0.000 0.000 0.000
Se 0.500 0.500 0.500

Magnetic moment = 0.246 μB per atom
Raw formation energy = -0.95 eV per atom
Space group = No. 166
VASP energy = -3.101 eV/atom
Energy relative to the lowest polymorph listed for this composition = 0.0 meV/atom
V = 39.78 Å³/atom